1.
{
  "formula": "TlMoPt2",
  "functional": "PBE",
  "state": "relaxed",
  "sg": "I-4m2",
  "vol_a3_per_atom": 17.2,
  "ef_ev_per_atom": 0.209,
  "polymorph_energy_mev_per_atom": 259,
  "magmom_total_mub_per_fu": 0.86,
  "lattice": [[-2.097, 2.097, 3.918], [2.097, -2.097, 3.918], [2.097, 2.097, -3.918]],
  "species": ["Tl", "Mo", "Pt", "Pt"],
  "fractional_positions": [[0.000, 0.000, 0.000], [0.250, 0.750, 0.500], [0.500, 0.500, 0.000], [0.750, 0.250, 0.500]]
}

***

2.
{
  "formula": "TlMoPt2",
  "functional": "PBE",
  "state": "relaxed",
  "sg": "Cmmm",
  "vol_a3_per_atom": 17.2,
  "ef_ev_per_atom": 0.169,
  "polymorph_energy_mev_per_atom": 219,
  "magmom_total_mub_per_fu": 0.00,
  "lattice": [[2.862, -4.183, 0.000], [2.862, 4.183, 0.000], [0.000, 0.000, 2.873]],
  "species": ["Tl", "Mo", "Pt", "Pt"],
  "fractional_positions": [[0.000, 0.000, 0.000], [0.500, 0.500, 0.000], [0.000, 0.500, 0.500], [0.500, 0.000, 0.500]]
}

***

3.
{
  "formula": "Tl2MoPt",
  "functional": "PBE",
  "state": "relaxed",
  "sg": "Immm",
  "vol_a3_per_atom": 20.1,
  "ef_ev_per_atom": 0.559,
  "polymorph_energy_mev_per_atom": 303,
  "magmom_total_mub_per_fu": 1.02,
  "lattice": [[-1.548, 2.698, 4.808], [1.548, -2.698, 4.808], [1.548, 2.698, -4.808]],
  "species": ["Tl", "Tl", "Mo", "Pt"],
  "fractional_positions": [[0.243, 0.243, 0.000], [0.757, 0.757, 0.000], [0.500, 0.000, 0.500], [0.000, 0.500, 0.500]]
}

***

4.
{
  "formula": "TlMoPt",
  "functional": "PBE",
  "state": "relaxed",
  "sg": "F-43m",
  "vol_a3_per_atom": 20.7,
  "ef_ev_per_atom": 0.444,
  "polymorph_energy_mev_per_atom": 220,
  "magmom_total_mub_per_fu": 1.01,
  "lattice": [[0.000, 3.143, 3.143], [3.143, 0.000, 3.143], [3.143, 3.143, 0.000]],
  "species": ["Tl", "Mo", "Pt"],
  "fractional_positions": [[0.000, 0.000, 0.000], [0.500, 0.500, 0.500], [0.250, 0.250, 0.250]]
}

***

5.
{
  "formula": "TlMoPt2",
  "functional": "PBE",
  "state": "relaxed",
  "sg": "I-42d",
  "vol_a3_per_atom": 19.3,
  "ef_ev_per_atom": 0.422,
  "polymorph_energy_mev_per_atom": 472,
  "magmom_total_mub_per_fu": 0.40,
  "lattice": [[-3.698, 3.698, 2.828], [3.698, -3.698, 2.828], [3.698, 3.698, -2.828]],
  "species": ["Tl", "Tl", "Mo", "Mo", "Pt", "Pt", "Pt", "Pt"],
  "fractional_positions": [[0.000, 0.000, 0.000], [0.750, 0.250, 0.500], [0.250, 0.750, 0.500], [0.500, 0.500, 0.000], [0.152, 0.625, 0.027], [0.375, 0.402, 0.527], [0.598, 0.125, 0.973], [0.875, 0.848, 0.473]]
}

***

6.
{
  "formula": "Tl2MoPt",
  "functional": "PBE",
  "state": "relaxed",
  "sg": "P2/m",
  "vol_a3_per_atom": 19.9,
  "ef_ev_per_atom": 0.561,
  "polymorph_energy_mev_per_atom": 304,
  "magmom_total_mub_per_fu": 0.00,
  "lattice": [[3.024, 0.000, 0.000], [0.000, 4.627, 0.000], [-0.219, 0.000, 5.682]],
  "species": ["Tl", "Tl", "Mo", "Pt"],
  "fractional_positions": [[0.196, 0.000, 0.248], [0.804, 0.000, 0.752], [0.500, 0.500, 0.000], [0.000, 0.500, 0.500]]
}

***

7.
{
  "formula": "TlMoPt4",
  "functional": "PBE",
  "state": "relaxed",
  "sg": "F-43m",
  "vol_a3_per_atom": 17.9,
  "ef_ev_per_atom": 0.242,
  "magmom_total_mub_per_fu": 2.58,
  "lattice": [[0.000, 3.770, 3.770], [3.770, 0.000, 3.770], [3.770, 3.770, 0.000]],
  "species": ["Tl", "Mo", "Pt", "Pt", "Pt", "Pt"],
  "fractional_positions": [[0.000, 0.000, 0.000], [0.750, 0.750, 0.750], [0.376, 0.376, 0.376], [0.376, 0.376, 0.873], [0.376, 0.873, 0.376], [0.873, 0.376, 0.376]]
}

***

8.
{
  "formula": "Tl2MoPt",
  "functional": "PBE",
  "state": "relaxed",
  "sg": "Pmmm",
  "vol_a3_per_atom": 19.4,
  "ef_ev_per_atom": 0.560,
  "polymorph_energy_mev_per_atom": 303,
  "magmom_total_mub_per_fu": 0.00,
  "lattice": [[3.071, 0.000, 0.000], [0.000, 3.782, 0.000], [0.000, 0.000, 6.670]],
  "species": ["Tl", "Tl", "Mo", "Pt"],
  "fractional_positions": [[0.000, 0.000, 0.248], [0.000, 0.000, 0.752], [0.500, 0.500, 0.500], [0.500, 0.500, 0.000]]
}

***

Question: What is the formula in the seventh record?
Answer: TlMoPt4